1.
A plane-wave DFT calculation with PBE was carried out for Te2OsCl after structural relaxation.

Unit cell a=5.1049 b=5.1049 c=5.1049 alpha=125.80 beta=125.80 gamma=80.21
Element x y z (fractional)
Te  0.0000  0.0000  0.0000
Te  0.7500  0.2500  0.5000
Os  0.5000  0.5000  0.0000
Cl  0.2500  0.7500  0.5000

Formation energy without anion corrections   1.0554 eV per atom
Magnetization   0.011 μB/cell
E above lowest polymorph   412 kJ/mol of formula units

---

2.
A plane-wave DFT calculation with PBE was carried out for Te2OsCl after structural relaxation.

Unit cell a=3.7099 b=7.0654 c=7.0654 alpha=42.07 beta=90.00 gamma=90.00
Element x y z (fractional)
Te  0.0000  0.0000  0.0000
Te  0.5000  0.3019  0.3019
Os  0.5000  0.8724  0.8724
Cl  0.0000  0.7330  0.7330

Formation energy without anion corrections   0.1309 eV per atom
Magnetization   0.000 μB/cell
E above lowest polymorph   55 kJ/mol of formula units

---

3.
A plane-wave DFT calculation with PBE was carried out for Te2OsCl after structural relaxation.

Unit cell a=3.3047 b=4.7815 c=5.4004 alpha=90.00 beta=90.00 gamma=90.00
Element x y z (fractional)
Te  0.0000  0.0000  0.0000
Te  0.5000  0.5000  0.5000
Os  0.0000  0.0000  0.5000
Cl  0.5000  0.5000  0.0000

Formation energy without anion corrections   0.5331 eV per atom
Magnetization   0.000 μB/cell
E above lowest polymorph   210 kJ/mol of formula units

---

4.
A plane-wave DFT calculation with PBE was carried out for Te2OsCl after structural relaxation.

Unit cell a=7.2366 b=7.2366 c=7.2366 alpha=122.44 beta=122.44 gamma=85.82
Element x y z (fractional)
Te  0.0525  0.6250  0.9275
Te  0.3750  0.3025  0.4275
Te  0.6975  0.1250  0.0725
Te  0.8750  0.9475  0.5725
Os  0.0000  0.0000  0.0000
Os  0.7500  0.2500  0.5000
Cl  0.2500  0.7500  0.5000
Cl  0.5000  0.5000  0.0000

Formation energy without anion corrections   0.2306 eV per atom
Magnetization   0.000 μB/cell
E above lowest polymorph   93 kJ/mol of formula units

---

5.
A plane-wave DFT calculation with PBE was carried out for Te4OsCl after structural relaxation.

Unit cell a=6.1992 b=6.1992 c=6.1992 alpha=60.00 beta=60.00 gamma=60.00
Element x y z (fractional)
Te  0.3757  0.3757  0.3757
Te  0.3757  0.3757  0.8728
Te  0.3757  0.8728  0.3757
Te  0.8728  0.3757  0.3757
Os  0.7500  0.7500  0.7500
Cl  0.0000  0.0000  0.0000

Formation energy without anion corrections   1.1853 eV per atom
Magnetization   3.575 μB/cell

---

6.
A plane-wave DFT calculation with PBE was carried out for Te2OsCl after structural relaxation.

Unit cell a=6.8226 b=6.8226 c=6.8226 alpha=153.04 beta=137.87 gamma=50.73
Element x y z (fractional)
Te  0.1762  0.1762  0.0000
Te  0.8238  0.8238  0.0000
Os  0.0000  0.5000  0.5000
Cl  0.5000  0.0000  0.5000

Formation energy without anion corrections   0.5140 eV per atom
Magnetization   0.000 μB/cell
E above lowest polymorph   203 kJ/mol of formula units

---

Q: magnetization of number 3 (Te2OsCl)?
A: 0.000 μB/cell